(1)
Here is an optimized crystal structure of MnMo4Se from Alexandria. Energies are from PBE.

abc: 5.2597 5.2597 5.2597
angles: 60.00 60.00 60.00
Fractional positions:
Mn: 0.0000 0.0000 0.0000
Mo: 0.1237 0.6254 0.6254
Mo: 0.6254 0.1237 0.6254
Mo: 0.6254 0.6254 0.1237
Mo: 0.6254 0.6254 0.6254
Se: 0.2500 0.2500 0.2500

Summary:
**E_form (uncorrected)**: 3.767 eV per formula unit

=====

(2)
Here is an optimized crystal structure of NdSm2Cu from Alexandria. Energies are from PBE.

abc: 10.2471 10.2471 10.2471
angles: 20.87 20.87 20.87
Fractional positions:
Nd: 0.0000 0.0000 0.0000
Sm: 0.2333 0.2333 0.2333
Sm: 0.4334 0.4334 0.4334
Cu: 0.8336 0.8336 0.8336

Summary:
**ΔE to the lowest computed polymorph**: 0.125 eV/atom

=====

(3)
Here is an optimized crystal structure of PtRh2 from Alexandria. Energies are from PBE.

abc: 5.2889 5.2889 6.5676
angles: 105.41 105.41 30.04
Fractional positions:
Pt: 0.0271 0.0271 0.3028
Pt: 0.9729 0.9729 0.6972
Rh: 0.3033 0.3033 0.3600
Rh: 0.3571 0.3571 0.9698
Rh: 0.6429 0.6429 0.0302
Rh: 0.6967 0.6967 0.6400

Summary:
**ΔE to the lowest computed polymorph**: 0.062 eV/atom

=====

(4)
Here is an optimized crystal structure of Ba3POs from Alexandria. Energies are from PBE.

abc: 5.7528 5.7528 5.7528
angles: 90.00 90.00 90.00
Fractional positions:
Ba: 0.0000 0.0000 0.5000
Ba: 0.0000 0.5000 0.0000
Ba: 0.5000 0.0000 0.0000
P: 0.5000 0.5000 0.5000
Os: 0.0000 0.0000 0.0000

Summary:
**ΔE to the lowest computed polymorph**: 0.000 eV/atom

=====

Number 1: electronic total energy -52.2 eV per cell, V 102.9 Å³/cell. Number 2: electronic total energy -18.1 eV per cell, V 119.6 Å³/cell. Number 3: electronic total energy -41.3 eV per cell, V 88.4 Å³/cell. Number 4: electronic total energy -21.0 eV per cell, V 190.4 Å³/cell.